## KNbCdS3 (PBE)

Data for KNbCdS3 after structural relaxation.

**Crystal system**: monoclinic
**Electronic total energy**: -4.96 eV per atom
**Total moment**: 0.001 μB per atom
**Energy above the most stable polymorph in this dataset**: 0 meV per atom

Unit cell a=7.641 b=3.656 c=10.855 alpha=90.00 beta=108.03 gamma=90.00
Space group P2_1/m (No. 11)
One atom of each set of equivalent atoms:
K  0.027  0.250  0.302 (multiplicity 2)
Nb  0.464  0.250  0.096 (multiplicity 2)
Cd  0.487  0.750  0.374 (multiplicity 2)
S  0.261  0.750  0.149 (multiplicity 2)
S  0.280  0.750  0.536 (multiplicity 2)
S  0.299  0.250  0.866 (multiplicity 2)

***

## KNbCdS3 (PBE)

Data for KNbCdS3 after structural relaxation.

**Crystal system**: orthorhombic
**Electronic total energy**: -4.79 eV per atom
**Total moment**: 0.333 μB per atom
**Energy above the most stable polymorph in this dataset**: 168 meV per atom

Unit cell a=3.788 b=14.747 c=10.182 alpha=90.00 beta=90.00 gamma=90.00
Space group Cmcm (No. 63)
One atom of each set of equivalent atoms:
K  0.000  0.240  0.250 (multiplicity 4)
Nb  0.000  0.500  0.000 (multiplicity 4)
Cd  0.000  0.049  0.750 (multiplicity 4)
S  0.000  0.121  0.531 (multiplicity 8)
S  0.000  0.434  0.750 (multiplicity 4)

***

## K2NbCdS4 (PBE)

Data for K2NbCdS4 after structural relaxation.

**Crystal system**: monoclinic
**Electronic total energy**: -4.64 eV per atom
**Total moment**: 0.081 μB per atom

Unit cell a=10.192 b=9.121 c=7.212 alpha=90.00 beta=134.96 gamma=90.00
Space group C2 (No. 5)
One atom of each set of equivalent atoms:
K  0.000  0.000  0.000 (multiplicity 2)
K  0.000  0.250  0.500 (multiplicity 2)
Nb  0.000  0.500  0.000 (multiplicity 2)
Cd  0.000  0.750  0.500 (multiplicity 2)
S  0.168  0.630  0.945 (multiplicity 4)
S  0.223  0.371  0.391 (multiplicity 4)

***

## KNdCdO3 (PBE)

Data for KNdCdO3 after structural relaxation.

**Crystal system**: orthorhombic
**Electronic total energy**: -5.54 eV per atom
**Total moment**: 0.000 μB per atom

Unit cell a=3.740 b=12.818 c=9.439 alpha=90.00 beta=90.00 gamma=90.00
Space group Cmcm (No. 63)
One atom of each set of equivalent atoms:
K  0.000  0.184  0.250 (multiplicity 4)
Nd  0.000  0.500  0.000 (multiplicity 4)
Cd  0.000  0.093  0.750 (multiplicity 4)
O  0.000  0.117  0.531 (multiplicity 8)
O  0.000  0.474  0.750 (multiplicity 4)

***

## KNdCdS3 (PBE)

Data for KNdCdS3 after structural relaxation.

**Crystal system**: monoclinic
**Electronic total energy**: -4.53 eV per atom
**Total moment**: 0.001 μB per atom

Unit cell a=17.433 b=4.171 c=8.953 alpha=90.00 beta=104.60 gamma=90.00
Space group C2/m (No. 12)
One atom of each set of equivalent atoms:
K  0.141  0.000  0.069 (multiplicity 4)
Nd  0.172  0.000  0.594 (multiplicity 4)
Cd  0.006  0.500  0.720 (multiplicity 4)
S  0.000  0.000  0.500 (multiplicity 2)
S  0.000  0.500  0.000 (multiplicity 2)
S  0.163  0.500  0.370 (multiplicity 4)
S  0.164  0.500  0.797 (multiplicity 4)

***

## KNdCdS3 (PBE)

Data for KNdCdS3 after structural relaxation.

**Crystal system**: monoclinic
**Electronic total energy**: -4.56 eV per atom
**Total moment**: 0.000 μB per atom

Unit cell a=8.117 b=4.223 c=10.450 alpha=90.00 beta=106.40 gamma=90.00
Space group P2_1/m (No. 11)
One atom of each set of equivalent atoms:
K  0.237  0.250  0.224 (multiplicity 2)
Nd  0.194  0.750  0.628 (multiplicity 2)
Cd  0.415  0.250  0.890 (multiplicity 2)
S  0.038  0.750  0.358 (multiplicity 2)
S  0.264  0.750  0.942 (multiplicity 2)
S  0.439  0.250  0.656 (multiplicity 2)

***

## KNdCdSe3 (PBE)

Data for KNdCdSe3 after structural relaxation.

**Crystal system**: monoclinic
**Electronic total energy**: -4.14 eV per atom
**Total moment**: 0.001 μB per atom

Unit cell a=18.193 b=4.317 c=9.287 alpha=90.00 beta=104.49 gamma=90.00
Space group C2/m (No. 12)
One atom of each set of equivalent atoms:
K  0.139  0.000  0.070 (multiplicity 4)
Nd  0.174  0.000  0.594 (multiplicity 4)
Cd  0.010  0.500  0.719 (multiplicity 4)
Se  0.000  0.000  0.500 (multiplicity 2)
Se  0.000  0.500  0.000 (multiplicity 2)
Se  0.162  0.500  0.368 (multiplicity 4)
Se  0.167  0.500  0.803 (multiplicity 4)

***

## KNdCdSe3 (PBE)

Data for KNdCdSe3 after structural relaxation.

**Crystal system**: monoclinic
**Electronic total energy**: -4.19 eV per atom
**Total moment**: 0.000 μB per atom

Unit cell a=8.564 b=4.319 c=10.691 alpha=90.00 beta=107.28 gamma=90.00
Space group P2_1/m (No. 11)
One atom of each set of equivalent atoms:
K  0.244  0.250  0.223 (multiplicity 2)
Nd  0.191  0.750  0.631 (multiplicity 2)
Cd  0.418  0.250  0.891 (multiplicity 2)
Se  0.039  0.750  0.351 (multiplicity 2)
Se  0.259  0.750  0.945 (multiplicity 2)
Se  0.438  0.250  0.651 (multiplicity 2)